The following is a DFT calculation (PBEsol) of a geometry-optimized Mn2CrIF structure.

Unit cell a=3.856 b=4.748 c=4.748 alpha=90.00 beta=90.00 gamma=90.00
Each line ends with the local moment (μB).
Element x y z (fractional)
Mn1 0.000 0.000 0.500  3.53
Mn2 0.000 0.500 0.000  3.53
I1 0.500 0.500 0.500  0.04
F1 0.500 0.000 0.000  -0.03
Cr1 0.000 0.000 0.000  -2.59

Values from the calculation:
The density of states at the Fermi level comes out at 3.8 states/eV per cell. The value obtained for the total moment is 4.88 μB/cell. The energy comes out at -32.222 eV/cell. For the raw formation energy, the calculation gives 0.247 eV per atom.

---

The following is a DFT calculation (PBEsol) of a geometry-optimized SbINO2 structure.

Unit cell a=3.862 b=3.862 c=6.277 alpha=90.00 beta=90.00 gamma=90.00
Each line ends with the local moment (μB).
Element x y z (fractional)
I1 0.000 0.000 0.500  0.03
O1 0.000 0.500 0.000  0.01
O2 0.500 0.000 0.000  0.01
N1 0.500 0.500 0.500  0.86
Sb1 0.000 0.000 0.000  0.00

Values from the calculation:
The density of states at the Fermi level comes out at 1.3 states/eV per cell. The value obtained for the total moment is 1.36 μB/cell. The energy comes out at -23.085 eV/cell. For the raw formation energy, the calculation gives 0.453 eV per atom.

---

The following is a DFT calculation (PBEsol) of a geometry-optimized TeAuSe structure.

Unit cell a=4.025 b=4.025 c=4.842 alpha=90.00 beta=90.00 gamma=120.00
Element x y z (fractional)
Au1 0.000 0.000 0.990
Se1 0.333 0.667 0.711
Te1 0.667 0.333 0.299

Values from the calculation:
The density of states at the Fermi level comes out at 1.3 states/eV per cell. The value obtained for the total moment is 0.00 μB/cell. The energy comes out at -11.527 eV/cell. For the raw formation energy, the calculation gives -0.075 eV per atom.

---

The following is a DFT calculation (PBEsol) of a geometry-optimized Sr5Al structure.

Unit cell a=4.011 b=4.011 c=16.420 alpha=90.00 beta=90.00 gamma=90.00
Element x y z (fractional)
Sr1 0.000 0.000 0.886
Sr2 0.500 0.500 0.691
Sr3 0.500 0.500 0.309
Sr4 0.000 0.000 0.500
Sr5 0.000 0.000 0.114
Al1 0.500 0.500 0.000

Values from the calculation:
The density of states at the Fermi level comes out at 6.2 states/eV per cell. The value obtained for the total moment is 0.00 μB/cell. The energy comes out at -13.422 eV/cell. For the energy relative to the lowest polymorph listed for this composition, the calculation gives 0 meV per atom.

---

The following is a DFT calculation (PBEsol) of a geometry-optimized HfZr3As structure.

Unit cell a=5.036 b=5.036 c=5.036 alpha=90.00 beta=90.00 gamma=90.00
Each line ends with the local moment (μB).
Element x y z (fractional)
Zr1 0.500 0.000 0.000  0.08
Zr2 0.000 0.500 0.000  0.08
Zr3 0.000 0.000 0.500  0.08
As1 0.500 0.500 0.500  0.00
Hf1 0.000 0.000 0.000  0.02

Values from the calculation:
The density of states at the Fermi level comes out at 9.6 states/eV per cell. The value obtained for the total moment is 0.46 μB/cell. The energy comes out at -37.340 eV/cell.

---

The following is a DFT calculation (PBEsol) of a geometry-optimized YB4Ir4 structure.

Unit cell a=3.969 b=7.558 c=7.558 alpha=90.00 beta=90.00 gamma=90.00
Element x y z (fractional)
Ir1 0.613 0.889 0.658
Ir2 0.613 0.111 0.342
Ir3 0.887 0.611 0.842
Ir4 0.113 0.842 0.389
Ir5 0.113 0.158 0.611
Ir6 0.387 0.658 0.111
Ir7 0.887 0.389 0.158
Ir8 0.387 0.342 0.889
B1 0.612 0.158 0.721
B2 0.888 0.342 0.779
B3 0.388 0.721 0.842
B4 0.112 0.221 0.342
B5 0.612 0.842 0.279
B6 0.888 0.658 0.221
B7 0.112 0.779 0.658
B8 0.388 0.279 0.158
Y1 0.000 0.000 0.000
Y2 0.500 0.500 0.500

Values from the calculation:
The density of states at the Fermi level comes out at 4.6 states/eV per cell. The value obtained for the total moment is 0.00 μB/cell. The energy comes out at -158.597 eV/cell.

---

The following is a DFT calculation (PBEsol) of a geometry-optimized YCd2Si structure.

Unit cell a=4.163 b=4.155 c=5.671 alpha=111.49 beta=111.54 gamma=90.00
Element x y z (fractional)
Si1 0.000 0.500 0.000
Y1 0.500 0.000 0.000
Cd1 0.250 0.250 0.500
Cd2 0.750 0.750 0.500

Values from the calculation:
The density of states at the Fermi level comes out at 1.8 states/eV per cell. The value obtained for the total moment is 0.00 μB/cell. The energy comes out at -16.112 eV/cell. For the raw formation energy, the calculation gives -0.287 eV per atom.

---

The following is a DFT calculation (PBEsol) of a geometry-optimized Cu2SiRh structure.

Unit cell a=2.639 b=2.639 c=7.146 alpha=90.00 beta=90.00 gamma=90.00
Element x y z (fractional)
Cu1 0.000 0.000 0.741
Cu2 0.000 0.000 0.259
Rh1 0.500 0.500 0.000
Si1 0.500 0.500 0.500

Values from the calculation:
The density of states at the Fermi level comes out at 4.3 states/eV per cell. The value obtained for the total moment is 0.00 μB/cell. The energy comes out at -22.129 eV/cell. For the raw formation energy, the calculation gives 0.106 eV per atom.

---

The following is a DFT calculation (PBEsol) of a geometry-optimized KRu2Br structure.

Unit cell a=3.086 b=3.086 c=8.254 alpha=90.00 beta=90.00 gamma=90.00
Element x y z (fractional)
K1 0.500 0.500 0.746
Ru1 0.500 0.500 0.218
Ru2 0.000 0.000 0.070
Br1 0.000 0.000 0.467

Values from the calculation:
The density of states at the Fermi level comes out at 2.5 states/eV per cell. The value obtained for the total moment is 0.00 μB/cell. The energy comes out at -21.683 eV/cell. For the raw formation energy, the calculation gives 0.416 eV per atom. For the energy relative to the lowest polymorph listed for this composition, the calculation gives 22 meV per atom.

---

The following is a DFT calculation (PBEsol) of a geometry-optimized BeMo2Cl structure.

Unit cell a=2.916 b=4.424 c=4.515 alpha=104.23 beta=108.84 gamma=90.00
Element x y z (fractional)
Mo1 0.997 0.983 0.994
Mo2 0.761 0.323 0.521
Cl1 0.246 0.746 0.492
Be1 0.496 0.448 0.992

Values from the calculation:
The density of states at the Fermi level comes out at 2.8 states/eV per cell. The value obtained for the total moment is 0.00 μB/cell. The energy comes out at -27.647 eV/cell. For the raw formation energy, the calculation gives 0.474 eV per atom. For the energy relative to the lowest polymorph listed for this composition, the calculation gives 214 meV per atom.

---

The following is a DFT calculation (PBEsol) of a geometry-optimized ZrScAl2 structure.

Unit cell a=3.270 b=4.311 c=5.711 alpha=90.00 beta=106.64 gamma=90.00
Element x y z (fractional)
Zr1 0.410 0.500 0.819
Sc1 0.084 0.000 0.168
Al1 0.818 0.000 0.636
Al2 0.677 0.500 0.355

Values from the calculation:
The density of states at the Fermi level comes out at 4.6 states/eV per cell. The value obtained for the total moment is 0.00 μB/cell. The energy comes out at -25.546 eV/cell. For the energy relative to the lowest polymorph listed for this composition, the calculation gives 28 meV per atom.

---

The following is a DFT calculation (PBEsol) of a geometry-optimized K2AlPt structure.

Unit cell a=3.850 b=5.669 c=6.554 alpha=115.62 beta=107.08 gamma=90.00
Element x y z (fractional)
K1 0.979 0.979 0.959
K2 0.787 0.287 0.575
Pt1 0.555 0.555 0.111
Al1 0.178 0.678 0.356

Values from the calculation:
The density of states at the Fermi level comes out at 2.2 states/eV per cell. The value obtained for the total moment is 0.00 μB/cell. The energy comes out at -13.556 eV/cell.

---

The following is a DFT calculation (PBEsol) of a geometry-optimized NaScTa2H structure.

Unit cell a=4.038 b=4.038 c=4.915 alpha=90.00 beta=90.00 gamma=90.00
Element x y z (fractional)
Sc1 0.000 0.000 0.500
Ta1 0.000 0.500 0.000
Ta2 0.500 0.000 0.000
Na1 0.500 0.500 0.500
H1 0.000 0.000 0.000

Values from the calculation:
The density of states at the Fermi level comes out at 5.2 states/eV per cell. The value obtained for the total moment is 0.00 μB/cell. The energy comes out at -34.171 eV/cell.

---

The following is a DFT calculation (PBEsol) of a geometry-optimized Y3CrHg structure.

Unit cell a=5.112 b=5.112 c=5.112 alpha=90.00 beta=90.00 gamma=90.00
Each line ends with the local moment (μB).
Element x y z (fractional)
Y1 0.000 0.000 0.500  0.03
Y2 0.000 0.500 0.000  0.03
Y3 0.500 0.000 0.000  0.03
Hg1 0.500 0.500 0.500  0.00
Cr1 0.000 0.000 0.000  1.22

Values from the calculation:
The density of states at the Fermi level comes out at 6.0 states/eV per cell. The value obtained for the total moment is 1.23 μB/cell. The energy comes out at -29.670 eV/cell. For the energy relative to the lowest polymorph listed for this composition, the calculation gives 0 meV per atom.